Material: Al2POs
Method: DFT, meta-GGA SCAN
State: PBEsol geometry Values from VASP.

Geometry as Quantum ESPRESSO input:
```
&SYSTEM
  ibrav = 0, nat = 4, ntyp = 3
/
ATOMIC_SPECIES
Os 190.23 Os.upf
P 30.97 P.upf
Al 26.98 Al.upf
CELL_PARAMETERS angstrom
-0.845 -2.024 3.289
-2.848 -0.561 -3.453
0.347 -3.393 -1.998
ATOMIC_POSITIONS crystal
Os 0.500 0.000 0.500
P 0.750 0.500 0.750
Al 0.250 0.500 0.250
Al 0.000 0.000 0.000
```

Output
Its formation energy is 0.0 eV per formula unit. The crystal system is tetragonal. The calculation puts the density of states at the Fermi level at 1.934 states/eV per cell. Its space group is I-4m2 (119).